# PBE+U Rb2VFe3F12, relaxed
data_Rb2VFe3F12
_cell_length_a 7.5369
_cell_length_b 7.5369
_cell_length_c 7.5369
_cell_angle_alpha 59.06
_cell_angle_beta 59.06
_cell_angle_gamma 59.06
_symmetry_space_group_name_H-M 'P 1'
_symmetry_Int_Tables_number 1
_symmetry_space_group_name_Hall 'P 1'
loop_
_atom_site_label
_atom_site_fract_x
_atom_site_fract_y
_atom_site_fract_z
Rb1 0.6183 0.6183 0.6183
Rb2 0.3817 0.3817 0.3817
V1 0.0000 0.0000 0.0000
Fe1 0.5000 0.0000 0.0000
Fe2 0.0000 0.5000 0.0000
Fe3 0.0000 0.0000 0.5000
F1 0.3254 0.3254 0.9249
F2 0.9309 0.9309 0.3144
F3 0.3144 0.9309 0.9309
F4 0.9249 0.3254 0.3254
F5 0.9309 0.3144 0.9309
F6 0.3254 0.9249 0.3254
F7 0.6746 0.6746 0.0751
F8 0.0691 0.0691 0.6856
F9 0.6856 0.0691 0.0691
F10 0.0751 0.6746 0.6746
F11 0.0691 0.6856 0.0691
F12 0.6746 0.0751 0.6746
# Raw total energy ... -0.3941 Ry/atom
# Fermi-level density of states ... 0.60 states/eV per atom